A plane-wave DFT calculation with GGA-PBE was carried out for a relaxed Li3Pt crystal.

Cell lengths 4.720, 4.720, 11.002 Å; angles 150.64, 150.64, 35.45 degrees
Element x y z (fractional)
Li1 0.000 0.000 0.750
Li2 0.031 0.031 0.023
Li3 0.969 0.969 0.477
Pt1 0.000 0.000 0.250

Formation enthalpy at 0 K (meV per atom): -401
Uncorrected energy (eV per atom): -3.35


A plane-wave DFT calculation with GGA-PBE was carried out for a relaxed Sr5CaAg2 crystal.

Cell lengths 4.537, 8.589, 10.091 Å; angles 115.18, 102.99, 90.00 degrees
Element x y z (fractional)
Sr1 0.347 0.088 0.693
Sr2 0.000 0.500 0.000
Sr3 0.653 0.395 0.307
Sr4 0.653 0.912 0.307
Sr5 0.347 0.605 0.693
Ag1 0.805 0.305 0.609
Ag2 0.195 0.695 0.391
Ca1 0.000 0.000 0.000

Formation enthalpy at 0 K (meV per atom): -120
Uncorrected energy (eV per atom): -2.13


A plane-wave DFT calculation with GGA-PBE was carried out for a relaxed Tb3TmRu3 crystal.

Cell lengths 5.829, 5.849, 5.829 Å; angles 109.54, 109.40, 109.54 degrees
Element x y z (fractional)
Tb1 0.586 0.590 0.586
Tb2 0.000 0.004 0.414
Tb3 0.414 0.004 0.000
Ru1 0.501 0.003 0.501
Ru2 0.499 0.503 0.000
Ru3 0.000 0.503 0.499
Tm1 0.000 0.419 0.000

Formation enthalpy at 0 K (meV per atom): -363
Uncorrected energy (eV per atom): -6.96


A plane-wave DFT calculation with GGA-PBE was carried out for a relaxed AcPm6Ho3Er2 crystal.

Cell lengths 6.279, 6.279, 11.985 Å; angles 95.02, 95.02, 119.99 degrees
Element x y z (fractional)
Pm1 0.749 0.749 0.255
Pm2 0.085 0.422 0.254
Pm3 0.578 0.915 0.746
Pm4 0.422 0.085 0.254
Pm5 0.915 0.578 0.746
Pm6 0.251 0.251 0.745
Ho1 0.833 0.167 0.500
Ho2 0.500 0.500 0.500
Ho3 0.167 0.833 0.500
Er1 0.667 0.333 0.000
Er2 0.333 0.667 0.000
Ac1 0.000 0.000 0.000

Formation enthalpy at 0 K (meV per atom): 29
Uncorrected energy (eV per atom): -4.59


A plane-wave DFT calculation with GGA-PBE was carried out for a relaxed AlCdIn crystal.

Cell lengths 4.638, 4.638, 10.877 Å; angles 90.00, 90.00, 120.00 degrees
Element x y z (fractional)
Cd1 0.667 0.333 0.750
Cd2 0.333 0.667 0.250
Al1 0.000 0.000 0.250
Al2 0.000 0.000 0.750
In1 0.000 0.000 0.000
In2 0.000 0.000 0.500

Formation enthalpy at 0 K (meV per atom): 486
Uncorrected energy (eV per atom): -1.98


A plane-wave DFT calculation with GGA-PBE was carried out for a relaxed Nb2Ge2Mo crystal.

Cell lengths 6.768, 6.768, 3.609 Å; angles 90.00, 90.00, 90.00 degrees
Element x y z (fractional)
Nb1 0.666 0.834 0.500
Nb2 0.166 0.666 0.500
Nb3 0.334 0.166 0.500
Nb4 0.834 0.334 0.500
Mo1 0.500 0.500 0.000
Mo2 0.000 0.000 0.000
Ge1 0.364 0.864 0.000
Ge2 0.864 0.636 0.000
Ge3 0.136 0.364 0.000
Ge4 0.636 0.136 0.000

Formation enthalpy at 0 K (meV per atom): -302
Uncorrected energy (eV per atom): -8.34


A plane-wave DFT calculation with GGA-PBE was carried out for a relaxed Sc2BeZnC crystal.

Cell lengths 3.495, 6.430, 6.918 Å; angles 100.92, 90.00, 90.00 degrees
Element x y z (fractional)
Be1 0.250 0.581 0.764
Be2 0.750 0.419 0.236
Sc1 0.250 0.194 0.951
Sc2 0.750 0.806 0.049
Sc3 0.750 0.835 0.618
Sc4 0.250 0.165 0.382
C1 0.750 0.153 0.167
C2 0.250 0.847 0.833
Zn1 0.750 0.356 0.680
Zn2 0.250 0.644 0.320

Formation enthalpy at 0 K (meV per atom): -306
Uncorrected energy (eV per atom): -5.68


A plane-wave DFT calculation with GGA-PBE was carried out for a relaxed CdCuAsBr2 crystal.

Cell lengths 5.063, 5.063, 4.943 Å; angles 90.00, 90.00, 90.00 degrees
Each line ends with the local moment (μB).
Element x y z (fractional)
Cu1 0.000 0.000 0.000  0.09
Br1 0.000 0.500 0.000  0.07
Br2 0.500 0.000 0.000  0.07
As1 0.000 0.000 0.500  0.47
Cd1 0.500 0.500 0.500  -0.05

Uncorrected formation energy (kJ/mol of formula units): 106
Uncorrected energy (eV per atom): -2.38